A geometry-optimized Sr3TlNi structure, computed with PBE-GGA.

Lattice parameters (Å, degrees): 5.746 5.746 5.746 90.00 90.00 90.00
Fractional positions:
Sr1 0.000 0.000 0.500
Sr2 0.000 0.500 0.000
Sr3 0.500 0.000 0.000
Tl1 0.500 0.500 0.500
Ni1 0.000 0.000 0.000

Output
Total magnetization, μB/atom: 0.0000
Energy of formation from the pure elements, eV/f.u.: -0.310
Electronic total energy, eV for the cell shown: -13.503
SG: Pm-3m (221)



A geometry-optimized SrTl2Ni structure, computed with PBE-GGA.

Lattice parameters (Å, degrees): 4.632 3.930 6.439 90.00 110.86 90.00
Fractional positions:
Sr1 0.000 0.000 0.000
Tl1 0.329 0.500 0.656
Tl2 0.707 0.000 0.415
Ni1 0.551 0.500 0.105

Output
Total magnetization, μB/atom: 0.0000
Energy of formation from the pure elements, eV/f.u.: -0.087
Electronic total energy, eV for the cell shown: -12.282
SG: Pm (6)



A geometry-optimized SrTl2Ni structure, computed with PBE-GGA.

Lattice parameters (Å, degrees): 6.597 6.597 4.042 107.54 107.54 123.17
Fractional positions:
Sr1 0.000 0.000 0.000
Tl1 0.000 0.500 0.500
Tl2 0.500 0.000 0.500
Ni1 0.500 0.500 0.000

Output
Total magnetization, μB/atom: 0.0000
Energy of formation from the pure elements, eV/f.u.: 0.997
Electronic total energy, eV for the cell shown: -11.198
SG: C2/m (12)



A geometry-optimized Sr2TlNi structure, computed with PBE-GGA.

Lattice parameters (Å, degrees): 8.347 8.347 8.347 31.76 31.76 31.76
Fractional positions:
Sr1 0.000 0.000 0.000
Sr2 0.176 0.176 0.176
Tl1 0.755 0.755 0.755
Ni1 0.421 0.421 0.421

Output
Total magnetization, μB/atom: 0.0000
Energy of formation from the pure elements, eV/f.u.: -0.492
Electronic total energy, eV for the cell shown: -12.003
SG: R3m (160)



A geometry-optimized Sr2TlNi structure, computed with PBE-GGA.

Lattice parameters (Å, degrees): 3.742 3.742 8.882 90.00 90.00 90.00
Fractional positions:
Sr1 0.000 0.000 0.000
Sr2 0.500 0.500 0.397
Tl1 0.000 0.000 0.643
Ni1 0.500 0.500 0.768

Output
Total magnetization, μB/atom: 0.0002
Energy of formation from the pure elements, eV/f.u.: 0.097
Electronic total energy, eV for the cell shown: -11.415
SG: P4mm (99)



A geometry-optimized SrTl2Ni structure, computed with PBE-GGA.

Lattice parameters (Å, degrees): 5.980 5.980 5.980 143.17 123.32 69.53
Fractional positions:
Sr1 0.000 0.000 0.000
Tl1 0.301 0.801 0.500
Tl2 0.699 0.199 0.500
Ni1 0.500 0.500 0.000

Output
Total magnetization, μB/atom: 0.0000
Energy of formation from the pure elements, eV/f.u.: -0.154
Electronic total energy, eV for the cell shown: -12.349
SG: Immm (71)



A geometry-optimized SrTlNi2 structure, computed with PBE-GGA.

Lattice parameters (Å, degrees): 6.525 6.525 6.525 37.04 37.04 37.04
Fractional positions:
Sr1 0.000 0.000 0.000
Tl1 0.807 0.807 0.807
Ni1 0.219 0.219 0.219
Ni2 0.552 0.552 0.552

Output
Total magnetization, μB/atom: 0.1176
Energy of formation from the pure elements, eV/f.u.: -0.236
Electronic total energy, eV for the cell shown: -15.846
SG: R3m (160)



A geometry-optimized SrTl2Ni structure, computed with PBE-GGA.

Lattice parameters (Å, degrees): 4.552 4.552 6.570 110.16 110.16 59.88
Fractional positions:
Sr1 0.000 0.000 0.000
Tl1 0.216 0.216 0.648
Tl2 0.784 0.784 0.352
Ni1 0.500 0.500 0.500

Output
Total magnetization, μB/atom: 0.0000
Energy of formation from the pure elements, eV/f.u.: -0.242
Electronic total energy, eV for the cell shown: -12.438
SG: C2/m (12)